# Cr2CuPd8 (PBE, relaxed)
# SG: C2/m, No. 12
# Energy relative to the lowest polymorph listed for this composition (eV per atom): 0.000
# ρ (g cm⁻³): 10.603
# Volume (Å³/atom): 14.5
data_Cr2CuPd8
_space_group_name_H-M_alt 'P 1'
_space_group_IT_number 1
_space_group_name_Hall 'P 1'
_cell_length_a 7.3068
_cell_length_b 7.3068
_cell_length_c 6.1454
_cell_angle_alpha 104.43
_cell_angle_beta 104.43
_cell_angle_gamma 30.23
loop_
_atom_site_label
_atom_site_type_symbol
_atom_site_fract_x
_atom_site_fract_y
_atom_site_fract_z
Cr1 Cr 0.2327 0.2327 0.1131
Cr2 Cr 0.7673 0.7673 0.8869
Cu1 Cu 0.5000 0.5000 0.5000
Pd1 Pd 0.0460 0.0460 0.2335
Pd2 Pd 0.1419 0.1419 0.6925
Pd3 Pd 0.3175 0.3175 0.5884
Pd4 Pd 0.4032 0.4032 0.0400
Pd5 Pd 0.5968 0.5968 0.9600
Pd6 Pd 0.6825 0.6825 0.4116
Pd7 Pd 0.8581 0.8581 0.3075
Pd8 Pd 0.9540 0.9540 0.7665

=====

# CrCuPd5 (PBE, relaxed)
# SG: P4/mmm, No. 123
# Energy relative to the lowest polymorph listed for this composition (eV per atom): 0.049
# ρ (g cm⁻³): 9.774
# Volume (Å³/atom): 15.7
data_CrCuPd5
_space_group_name_H-M_alt 'P 1'
_space_group_IT_number 1
_space_group_name_Hall 'P 1'
_cell_length_a 3.9791
_cell_length_b 3.9791
_cell_length_c 6.9495
_cell_angle_alpha 90.00
_cell_angle_beta 90.00
_cell_angle_gamma 90.00
loop_
_atom_site_label
_atom_site_type_symbol
_atom_site_fract_x
_atom_site_fract_y
_atom_site_fract_z
Cr1 Cr 0.0000 0.0000 0.0000
Cu1 Cu 0.5000 0.5000 0.5000
Pd1 Pd 0.0000 0.5000 0.2703
Pd2 Pd 0.0000 0.5000 0.7297
Pd3 Pd 0.5000 0.0000 0.2703
Pd4 Pd 0.5000 0.0000 0.7297
Pd5 Pd 0.5000 0.5000 0.0000

=====

# CrCuPd4 (PBE, relaxed)
# SG: R-3m, No. 166
# Energy relative to the lowest polymorph listed for this composition (eV per atom): 0.271
# ρ (g cm⁻³): 8.995
# Volume (Å³/atom): 16.7
data_CrCuPd4
_space_group_name_H-M_alt 'P 1'
_space_group_IT_number 1
_space_group_name_Hall 'P 1'
_cell_length_a 7.1687
_cell_length_b 7.1687
_cell_length_c 7.1687
_cell_angle_alpha 33.49
_cell_angle_beta 33.49
_cell_angle_gamma 33.49
loop_
_atom_site_label
_atom_site_type_symbol
_atom_site_fract_x
_atom_site_fract_y
_atom_site_fract_z
Cr1 Cr 0.0000 0.0000 0.0000
Cu1 Cu 0.5000 0.5000 0.5000
Pd1 Pd 0.1234 0.1234 0.1234
Pd2 Pd 0.3752 0.3752 0.3752
Pd3 Pd 0.6248 0.6248 0.6248
Pd4 Pd 0.8766 0.8766 0.8766

=====

# CrCu2Pd3 (PBE, relaxed)
# SG: Cmmm, No. 65
# ρ (g cm⁻³): 9.767
# Electronic total energy (eV per formula unit): -33.84
# Volume (Å³/atom): 14.1
data_CrCu2Pd3
_space_group_name_H-M_alt 'P 1'
_space_group_IT_number 1
_space_group_name_Hall 'P 1'
_cell_length_a 6.3659
_cell_length_b 6.3659
_cell_length_c 6.9635
_cell_angle_alpha 90.00
_cell_angle_beta 90.00
_cell_angle_gamma 143.09
loop_
_atom_site_label
_atom_site_type_symbol
_atom_site_fract_x
_atom_site_fract_y
_atom_site_fract_z
Cr1 Cr 0.1592 0.8408 0.0000
Cr2 Cr 0.8408 0.1592 0.0000
Cu1 Cu 0.1699 0.8301 0.5000
Cu2 Cu 0.5000 0.5000 0.0000
Cu3 Cu 0.5000 0.5000 0.5000
Cu4 Cu 0.8301 0.1699 0.5000
Pd1 Pd 0.0000 0.0000 0.2587
Pd2 Pd 0.0000 0.0000 0.7413
Pd3 Pd 0.3328 0.6672 0.2480
Pd4 Pd 0.3328 0.6672 0.7520
Pd5 Pd 0.6672 0.3328 0.2480
Pd6 Pd 0.6672 0.3328 0.7520

=====

# CrCu5Pd8 (PBE, relaxed)
# SG: I-4, No. 82
# ρ (g cm⁻³): 9.734
# Electronic total energy (eV per formula unit): -70.59
# Volume (Å³/atom): 14.9
data_CrCu5Pd8
_space_group_name_H-M_alt 'P 1'
_space_group_IT_number 1
_space_group_name_Hall 'P 1'
_cell_length_a 6.4708
_cell_length_b 6.4708
_cell_length_c 6.4708
_cell_angle_alpha 110.68
_cell_angle_beta 110.68
_cell_angle_gamma 107.09
loop_
_atom_site_label
_atom_site_type_symbol
_atom_site_fract_x
_atom_site_fract_y
_atom_site_fract_z
Cr1 Cr 0.0000 0.0000 0.0000
Cu1 Cu 0.3033 0.2125 0.6790
Cu2 Cu 0.3757 0.6967 0.9092
Cu3 Cu 0.5334 0.6243 0.3210
Cu4 Cu 0.7500 0.2500 0.5000
Cu5 Cu 0.7875 0.4666 0.0908
Pd1 Pd 0.0206 0.7601 0.6025
Pd2 Pd 0.0727 0.3446 0.9147
Pd3 Pd 0.1575 0.4181 0.3975
Pd4 Pd 0.2399 0.8425 0.2606
Pd5 Pd 0.4299 0.1580 0.0853
Pd6 Pd 0.5819 0.9794 0.7394
Pd7 Pd 0.6554 0.5701 0.7281
Pd8 Pd 0.8420 0.9273 0.2719

=====

# CrCu2Pd2 (PBE, relaxed)
# SG: I4/mmm, No. 139
# Energy relative to the lowest polymorph listed for this composition (eV per atom): 0.707
# ρ (g cm⁻³): 8.486
# Volume (Å³/atom): 15.3
data_CrCu2Pd2
_space_group_name_H-M_alt 'P 1'
_space_group_IT_number 1
_space_group_name_Hall 'P 1'
_cell_length_a 6.2503
_cell_length_b 6.2503
_cell_length_c 6.2503
_cell_angle_alpha 145.83
_cell_angle_beta 145.83
_cell_angle_gamma 49.10
loop_
_atom_site_label
_atom_site_type_symbol
_atom_site_fract_x
_atom_site_fract_y
_atom_site_fract_z
Cr1 Cr 0.0000 0.0000 0.0000
Cu1 Cu 0.4026 0.4026 0.0000
Cu2 Cu 0.5974 0.5974 0.0000
Pd1 Pd 0.2500 0.7500 0.5000
Pd2 Pd 0.7500 0.2500 0.5000

=====

# CrCu6Pd8 (PBE, relaxed)
# SG: R-3, No. 148
# Energy relative to the lowest polymorph listed for this composition (eV per atom): 0.000
# ρ (g cm⁻³): 9.647
# Volume (Å³/atom): 14.7
data_CrCu6Pd8
_space_group_name_H-M_alt 'P 1'
_space_group_IT_number 1
_space_group_name_Hall 'P 1'
_cell_length_a 6.1785
_cell_length_b 6.1785
_cell_length_c 6.1785
_cell_angle_alpha 77.45
_cell_angle_beta 77.45
_cell_angle_gamma 77.45
loop_
_atom_site_label
_atom_site_type_symbol
_atom_site_fract_x
_atom_site_fract_y
_atom_site_fract_z
Cr1 Cr 0.0000 0.0000 0.0000
Cu1 Cu 0.2034 0.4444 0.5910
Cu2 Cu 0.4090 0.7966 0.5556
Cu3 Cu 0.4444 0.5910 0.2034
Cu4 Cu 0.5556 0.4090 0.7966
Cu5 Cu 0.5910 0.2034 0.4444
Cu6 Cu 0.7966 0.5556 0.4090
Pd1 Pd 0.0610 0.8386 0.3722
Pd2 Pd 0.1614 0.6278 0.9390
Pd3 Pd 0.2422 0.2422 0.2422
Pd4 Pd 0.3722 0.0610 0.8386
Pd5 Pd 0.6278 0.9390 0.1614
Pd6 Pd 0.7578 0.7578 0.7578
Pd7 Pd 0.8386 0.3722 0.0610
Pd8 Pd 0.9390 0.1614 0.6278

=====

# CrCu2Pd6 (PBE, relaxed)
# SG: C2/c, No. 15
# Energy relative to the lowest polymorph listed for this composition (eV per atom): 0.106
# ρ (g cm⁻³): 10.089
# Volume (Å³/atom): 15.0
data_CrCu2Pd6
_space_group_name_H-M_alt 'P 1'
_space_group_IT_number 1
_space_group_name_Hall 'P 1'
_cell_length_a 7.3690
_cell_length_b 7.3690
_cell_length_c 5.3252
_cell_angle_alpha 104.36
_cell_angle_beta 104.36
_cell_angle_gamma 79.51
loop_
_atom_site_label
_atom_site_type_symbol
_atom_site_fract_x
_atom_site_fract_y
_atom_site_fract_z
Cr1 Cr 0.1354 0.8646 0.7500
Cr2 Cr 0.8646 0.1354 0.2500
Cu1 Cu 0.3120 0.3406 0.6225
Cu2 Cu 0.3406 0.3120 0.1225
Cu3 Cu 0.6594 0.6880 0.8775
Cu4 Cu 0.6880 0.6594 0.3775
Pd1 Pd 0.0100 0.4201 0.2419
Pd2 Pd 0.0389 0.2030 0.7402
Pd3 Pd 0.2030 0.0389 0.2402
Pd4 Pd 0.3412 0.6409 0.4856
Pd5 Pd 0.3591 0.6588 0.0144
Pd6 Pd 0.4201 0.0100 0.7419
Pd7 Pd 0.5799 0.9900 0.2581
Pd8 Pd 0.6409 0.3412 0.9856
Pd9 Pd 0.6588 0.3591 0.5144
Pd10 Pd 0.7970 0.9611 0.7598
Pd11 Pd 0.9611 0.7970 0.2598
Pd12 Pd 0.9900 0.5799 0.7581

=====

# CrCu2Pd (PBE, relaxed)
# SG: Fm-3m, No. 225
# ρ (g cm⁻³): 9.227
# Electronic total energy (eV per formula unit): -21.82
# Volume (Å³/atom): 12.8
data_CrCu2Pd
_space_group_name_H-M_alt 'P 1'
_space_group_IT_number 1
_space_group_name_Hall 'P 1'
_cell_length_a 4.1729
_cell_length_b 4.1729
_cell_length_c 4.1729
_cell_angle_alpha 60.00
_cell_angle_beta 60.00
_cell_angle_gamma 60.00
loop_
_atom_site_label
_atom_site_type_symbol
_atom_site_fract_x
_atom_site_fract_y
_atom_site_fract_z
Cr1 Cr 0.0000 0.0000 0.0000
Cu1 Cu 0.2500 0.2500 0.2500
Cu2 Cu 0.7500 0.7500 0.7500
Pd1 Pd 0.5000 0.5000 0.5000

=====

# CrCu3Pd4 (PBE, relaxed)
# SG: Pmma, No. 51
# ρ (g cm⁻³): 9.882
# Electronic total energy (eV per formula unit): -43.41
# Volume (Å³/atom): 14.0
data_CrCu3Pd4
_space_group_name_H-M_alt 'P 1'
_space_group_IT_number 1
_space_group_name_Hall 'P 1'
_cell_length_a 8.7623
_cell_length_b 5.7570
_cell_length_c 4.4522
_cell_angle_alpha 90.00
_cell_angle_beta 90.00
_cell_angle_gamma 90.00
loop_
_atom_site_label
_atom_site_type_symbol
_atom_site_fract_x
_atom_site_fract_y
_atom_site_fract_z
Cr1 Cr 0.0000 0.0000 0.0000
Cr2 Cr 0.5000 0.0000 0.0000
Cu1 Cu 0.0000 0.5000 0.0000
Cu2 Cu 0.2500 0.0000 0.4128
Cu3 Cu 0.2500 0.5000 0.4070
Cu4 Cu 0.5000 0.5000 0.0000
Cu5 Cu 0.7500 0.0000 0.5872
Cu6 Cu 0.7500 0.5000 0.5930
Pd1 Pd 0.0000 0.2510 0.5000
Pd2 Pd 0.0000 0.7490 0.5000
Pd3 Pd 0.2500 0.2519 0.9140
Pd4 Pd 0.2500 0.7481 0.9140
Pd5 Pd 0.5000 0.2510 0.5000
Pd6 Pd 0.5000 0.7490 0.5000
Pd7 Pd 0.7500 0.2519 0.0860
Pd8 Pd 0.7500 0.7481 0.0860

=====

# CrCu3Pd6 (PBE, relaxed)
# SG: P2_1/m, No. 11
# Energy relative to the lowest polymorph listed for this composition (eV per atom): 0.000
# ρ (g cm⁻³): 10.188
# Volume (Å³/atom): 14.4
data_CrCu3Pd6
_space_group_name_H-M_alt 'P 1'
_space_group_IT_number 1
_space_group_name_Hall 'P 1'
_cell_length_a 7.2507
_cell_length_b 4.4599
_cell_length_c 9.5719
_cell_angle_alpha 90.00
_cell_angle_beta 111.88
_cell_angle_gamma 90.00
loop_
_atom_site_label
_atom_site_type_symbol
_atom_site_fract_x
_atom_site_fract_y
_atom_site_fract_z
Cr1 Cr 0.0416 0.2500 0.4161
Cr2 Cr 0.9584 0.7500 0.5839
Cu1 Cu 0.2357 0.2500 0.0286
Cu2 Cu 0.3745 0.7500 0.7801
Cu3 Cu 0.4476 0.2500 0.6291
Cu4 Cu 0.5524 0.7500 0.3709
Cu5 Cu 0.6255 0.2500 0.2199
Cu6 Cu 0.7643 0.7500 0.9714
Pd1 Pd 0.0732 0.7500 0.8731
Pd2 Pd 0.1452 0.2500 0.7139
Pd3 Pd 0.1592 0.7500 0.1761
Pd4 Pd 0.2565 0.7500 0.4876
Pd5 Pd 0.3424 0.2500 0.3313
Pd6 Pd 0.4673 0.7500 0.0763
Pd7 Pd 0.5327 0.2500 0.9237
Pd8 Pd 0.6576 0.7500 0.6687
Pd9 Pd 0.7435 0.2500 0.5124
Pd10 Pd 0.8408 0.2500 0.8239
Pd11 Pd 0.8548 0.7500 0.2861
Pd12 Pd 0.9268 0.2500 0.1269

=====

# CrCu3Pd6 (PBE, relaxed)
# SG: R-3, No. 148
# Energy relative to the lowest polymorph listed for this composition (eV per atom): 0.099
# ρ (g cm⁻³): 9.833
# Volume (Å³/atom): 14.9
data_CrCu3Pd6
_space_group_name_H-M_alt 'P 1'
_space_group_IT_number 1
_space_group_name_Hall 'P 1'
_cell_length_a 6.6784
_cell_length_b 6.6784
_cell_length_c 6.6784
_cell_angle_alpha 91.36
_cell_angle_beta 91.36
_cell_angle_gamma 91.36
loop_
_atom_site_label
_atom_site_type_symbol
_atom_site_fract_x
_atom_site_fract_y
_atom_site_fract_z
Cr1 Cr 0.0000 0.0000 0.0000
Cr2 Cr 0.5000 0.5000 0.5000
Cu1 Cu 0.2382 0.7444 0.6211
Cu2 Cu 0.2556 0.3789 0.7618
Cu3 Cu 0.3789 0.7618 0.2556
Cu4 Cu 0.6211 0.2382 0.7444
Cu5 Cu 0.7444 0.6211 0.2382
Cu6 Cu 0.7618 0.2556 0.3789
Pd1 Pd 0.0102 0.8750 0.3448
Pd2 Pd 0.1243 0.4499 0.3543
Pd3 Pd 0.1250 0.6552 0.9898
Pd4 Pd 0.3448 0.0102 0.8750
Pd5 Pd 0.3543 0.1243 0.4499
Pd6 Pd 0.4499 0.3543 0.1243
Pd7 Pd 0.5501 0.6457 0.8757
Pd8 Pd 0.6457 0.8757 0.5501
Pd9 Pd 0.6552 0.9898 0.1250
Pd10 Pd 0.8750 0.3448 0.0102
Pd11 Pd 0.8757 0.5501 0.6457
Pd12 Pd 0.9898 0.1250 0.6552

=====

no.,DOS(E_F) (states/eV/cell)
1,12.9
2,12.3
3,5.0
4,9.2
5,11.0
6,8.1
7,11.0
8,15.0
9,3.8
10,12.6
11,17.4
12,15.6